[1]
## AcHgTeSe (GGA-PBE)

Data for a relaxed AcHgTeSe crystal.

a b c (Å): 7.8045 7.8045 7.8045
angles (deg): 90.00 90.00 90.00
Last column: nearest neighbours and their distance in Å.
Positions (direct):
Ac  0.0000  0.0000  0.0000  4 Se 3.38, 4 Te 3.38
Ac  0.0000  0.5000  0.5000  4 Se 3.38, 4 Te 3.38
Ac  0.5000  0.0000  0.5000  4 Se 3.38, 4 Te 3.38
Ac  0.5000  0.5000  0.0000  4 Se 3.38, 4 Te 3.38
Hg  0.0000  0.0000  0.5000  4 Se 3.38, 4 Te 3.38
Hg  0.0000  0.5000  0.0000  4 Se 3.38, 4 Te 3.38
Hg  0.5000  0.0000  0.0000  4 Se 3.38, 4 Te 3.38
Hg  0.5000  0.5000  0.5000  4 Se 3.38, 4 Te 3.38
Te  0.2500  0.2500  0.2500  4 Hg 3.38, 4 Ac 3.38
Te  0.2500  0.7500  0.7500  4 Hg 3.38, 4 Ac 3.38
Te  0.7500  0.2500  0.7500  4 Hg 3.38, 4 Ac 3.38
Te  0.7500  0.7500  0.2500  4 Hg 3.38, 4 Ac 3.38
Se  0.2500  0.2500  0.7500  4 Ac 3.38, 4 Hg 3.38
Se  0.2500  0.7500  0.2500  4 Ac 3.38, 4 Hg 3.38
Se  0.7500  0.2500  0.2500  4 Ac 3.38, 4 Hg 3.38
Se  0.7500  0.7500  0.7500  4 Ac 3.38, 4 Hg 3.38

Results
The value obtained for the volume is 29.711 Å³ per atom. The value obtained for the formation energy from raw total energies is -3.72 eV/f.u. Its space group is F-43m, No. 216.

---

[2]
## Ge2MoPd (GGA-PBE)

Data for a relaxed Ge2MoPd crystal.

a b c (Å): 4.3379 4.3379 3.2527
angles (deg): 90.00 90.00 90.00
Last column: nearest neighbours and their distance in Å.
Positions (direct):
Ge  0.0000  0.5000  0.0000  4 Pd 2.71, 4 Mo 2.71
Ge  0.5000  0.0000  0.0000  4 Pd 2.71, 4 Mo 2.71
Mo  0.0000  0.0000  0.5000  8 Ge 2.71
Pd  0.5000  0.5000  0.5000  8 Ge 2.71

Results
As for the energy above the most stable polymorph in this dataset: 0.0000 eV per atom. The value obtained for the volume is 15.302 Å³ per atom. The formation energy is -0.15 eV/atom. Its space group is P4/mmm, No. 123.

---

[3]
## BaCaSbBr (GGA-PBE)

Data for a relaxed BaCaSbBr crystal.

a b c (Å): 13.5192 13.5192 13.5192
angles (deg): 22.44 22.44 22.44
Last column: nearest neighbours and their distance in Å.
Positions (direct):
Ba  0.1065  0.1065  0.1065  4 Br 3.27-3.53
Ba  0.8935  0.8935  0.8935  4 Br 3.27-3.53
Ca  0.3040  0.3040  0.3040  4 Sb 3.17-3.23
Ca  0.6960  0.6960  0.6960  4 Sb 3.17-3.23
Sb  0.3858  0.3858  0.3858  4 Ca 3.17-3.23
Sb  0.6142  0.6142  0.6142  4 Ca 3.17-3.23
Br  0.1959  0.1959  0.1959  4 Ba 3.27-3.53
Br  0.8041  0.8041  0.8041  4 Ba 3.27-3.53

Results
The value obtained for the volume is 39.478 Å³ per atom. The value obtained for the formation energy from raw total energies is -5.94 eV/f.u. Its space group is R-3m, No. 166.

---

[4]
## Tb3Tl3VS8 (GGA-PBE)

Data for a relaxed Tb3Tl3VS8 crystal.

a b c (Å): 8.7947 8.7947 8.7947
angles (deg): 52.71 52.71 52.71
Last column: nearest neighbours and their distance in Å.
Positions (direct):
Tb  0.0000  0.5000  0.5000  6 S 2.72-2.76
Tb  0.5000  0.0000  0.5000  6 S 2.72-2.76
Tb  0.5000  0.5000  0.0000  6 S 2.72-2.76
Tl  0.0000  0.0000  0.5000  6 S 3.18-3.20
Tl  0.0000  0.5000  0.0000  6 S 3.18-3.20
Tl  0.5000  0.0000  0.0000  6 S 3.18-3.20
V  0.0000  0.0000  0.0000  6 S 2.47
S  0.2122  0.2122  0.7625  1 V 2.47, 2 Tb 2.76
S  0.2122  0.7625  0.2122  1 V 2.47, 2 Tb 2.76
S  0.2375  0.7878  0.7878  1 V 2.47, 2 Tb 2.76
S  0.2660  0.2660  0.2660  3 Tb 2.72
S  0.7340  0.7340  0.7340  3 Tb 2.72
S  0.7625  0.2122  0.2122  1 V 2.47, 2 Tb 2.76
S  0.7878  0.2375  0.7878  1 V 2.47, 2 Tb 2.76
S  0.7878  0.7878  0.2375  1 V 2.47, 2 Tb 2.76

Results
The value obtained for the volume is 26.582 Å³ per atom. The value obtained for the formation energy from raw total energies is -19.36 eV/f.u. Its space group is R-3m, No. 166.

---

no.,raw total energy (eV/cell)
1,-59.023
2,-25.863
3,-31.326
4,-82.484